Ac2DyPuSe6 | the Alexandria database | GGA-PBE | optimized geometry; M_tot = 5.0 μB per cell; E_form (uncorrected) = -17.85 eV/f.u.
1.0
7.5952 0.0001 0.0003
3.7977 6.5776 0.0001
3.7974 2.1928 6.5784
Ac Dy Pu Se
2 1 1 6
direct
0.5260 0.5260 0.4220 Ac
0.0262 0.0262 0.9214 Ac
0.3177 0.3177 0.0469 Dy
0.8180 0.8180 0.5460 Pu
0.5972 0.1874 0.2608 Se
0.1874 0.9546 0.2608 Se
0.9546 0.5973 0.2608 Se
0.4508 0.6831 0.7655 Se
0.6831 0.1006 0.7655 Se
0.1006 0.4508 0.7655 Se

---

AcSmDyPu | the Alexandria database | GGA-PBE | optimized geometry; calculated formation energy = 1.064 eV per formula unit; M_tot = 7.0 μB per cell
1.0
5.8103 0.0000 0.0000
2.9052 5.0319 0.0000
2.9052 1.6773 4.7441
Ac Dy Sm Pu
1 1 1 1
direct
0.7500 0.7500 0.7500 Ac
0.5000 0.5000 0.5000 Dy
0.0000 0.0000 0.0000 Sm
0.2500 0.2500 0.2500 Pu

---

AcDyPuSn | the Alexandria database | GGA-PBE | optimized geometry; calculated formation energy = -0.185 eV per formula unit; M_tot = 7.0 μB per cell
1.0
5.5398 0.0000 0.0000
2.7699 4.7976 0.0000
2.7699 1.5992 4.5233
Ac Dy Sn Pu
1 1 1 1
direct
0.7500 0.7500 0.7500 Ac
0.0000 0.0000 0.0000 Dy
0.2500 0.2500 0.2500 Sn
0.5000 0.5000 0.5000 Pu

---

AcDyPuTh | the Alexandria database | GGA-PBE | optimized geometry; calculated formation energy = 1.304 eV per formula unit; M_tot = 8.1 μB per cell
1.0
5.7609 0.0000 0.0000
2.8804 4.9891 0.0000
2.8804 1.6630 4.7037
Ac Dy Th Pu
1 1 1 1
direct
0.2500 0.2500 0.2500 Ac
0.0000 0.0000 0.0000 Dy
0.5000 0.5000 0.5000 Th
0.7500 0.7500 0.7500 Pu

---

Rb3Ac2DyS6 | the Alexandria database | GGA-PBE | optimized geometry; M_tot = 0.0 μB per cell; E_form (uncorrected) = -22.29 eV/f.u.
1.0
-4.8383 2.0725 5.3616
2.8527 -6.9508 -0.0030
6.5521 4.0445 2.5907
Rb Ac Dy S
3 2 1 6
direct
0.1666 0.8334 0.5000 Rb
0.8334 0.1666 0.5000 Rb
0.5000 0.5000 0.5000 Rb
0.3334 0.6666 0.0000 Ac
0.6666 0.3334 0.0000 Ac
0.0000 0.0000 0.0000 Dy
0.9337 0.6195 0.8013 S
0.7521 0.7521 0.1982 S
0.0663 0.3805 0.1987 S
0.6195 0.9337 0.8013 S
0.2479 0.2479 0.8018 S
0.3805 0.0663 0.1987 S

---

Rb3AcDy2S6 | the Alexandria database | GGA-PBE | optimized geometry; M_tot = 0.0 μB per cell; E_form (uncorrected) = -22.20 eV/f.u.
1.0
-2.3728 5.2812 -4.4293
-4.7482 -4.6407 3.0098
1.5983 4.5096 6.5251
Rb Ac Dy S
3 1 2 6
direct
0.1650 0.8350 0.5000 Rb
0.8350 0.1650 0.5000 Rb
0.5000 0.5000 0.5000 Rb
0.0000 0.0000 0.0000 Ac
0.3332 0.6668 0.0000 Dy
0.6668 0.3332 0.0000 Dy
0.9349 0.5821 0.8050 S
0.7123 0.7123 0.1947 S
0.0651 0.4179 0.1950 S
0.5821 0.9349 0.8050 S
0.2877 0.2877 0.8053 S
0.4179 0.0651 0.1950 S